This record from Alexandria via LeMat-Bulk describes a geometry-optimized Cs3PrNd2Se6 structure. The functional is PBE-GGA.

a = 7.6460 Å, b = 7.6460 Å, c = 8.7914 Å
α = 98.34°, β = 98.34°, γ = 120.00°
Closest atoms and distances in Å follow each position.
Positions (direct):
Pr (0.0000, 0.0000, 0.0000)  6 Se 3.02
Se (0.9363, 0.6013, 0.8090)  2 Nd 3.01, 1 Pr 3.02
Se (0.6013, 0.9363, 0.8090)  2 Nd 3.01, 1 Pr 3.02
Se (0.7286, 0.7286, 0.1909)  2 Nd 3.01, 1 Pr 3.02
Se (0.0637, 0.3987, 0.1910)  2 Nd 3.01, 1 Pr 3.02
Se (0.2714, 0.2714, 0.8091)  2 Nd 3.01, 1 Pr 3.02
Se (0.3987, 0.0637, 0.1910)  2 Nd 3.01, 1 Pr 3.02
Nd (0.3333, 0.6667, 0.0000)  6 Se 3.01
Nd (0.6667, 0.3333, 0.0000)  6 Se 3.01
Cs (0.1665, 0.8335, 0.5000)  6 Se 3.63-3.65
Cs (0.8335, 0.1665, 0.5000)  6 Se 3.63-3.65
Cs (0.5000, 0.5000, 0.5000)  6 Se 3.63-3.65

- crystal system = monoclinic
- E_form (uncorrected) (eV/atom) = -1.73
- space group = C2/m (12)



This record from Alexandria via LeMat-Bulk describes a geometry-optimized Cs2PrNdSe4 structure. The functional is PBE-GGA.

a = 4.4199 Å, b = 7.6557 Å, c = 8.7912 Å
α = 106.85°, β = 90.00°, γ = 90.00°
Closest atoms and distances in Å follow each position.
Positions (direct):
Cs (0.0000, 0.5000, 0.5000)  6 Se 3.65
Cs (0.5000, 0.0000, 0.5000)  6 Se 3.63-3.64
Se (0.0000, 0.7320, 0.1915)  1 Nd 3.01, 2 Pr 3.02
Se (0.5000, 0.7714, 0.8092)  2 Nd 3.01, 1 Pr 3.03
Se (0.5000, 0.2286, 0.1908)  2 Nd 3.01, 1 Pr 3.03
Se (0.0000, 0.2680, 0.8085)  1 Nd 3.01, 2 Pr 3.02
Pr (0.5000, 0.5000, 0.0000)  6 Se 3.02-3.03
Nd (0.0000, 0.0000, 0.0000)  6 Se 3.01

- crystal system = monoclinic
- E_form (uncorrected) (eV/atom) = -1.73
- space group = P2/m (10)



This record from Alexandria via LeMat-Bulk describes a geometry-optimized Cs3Pr2NdTe6 structure. The functional is PBE-GGA.

a = 8.1370 Å, b = 8.1370 Å, c = 9.3586 Å
α = 98.33°, β = 98.33°, γ = 119.99°
Closest atoms and distances in Å follow each position.
Positions (direct):
Cs (0.5000, 0.5000, 0.5000)  6 Te 3.84-3.85
Cs (0.1672, 0.8328, 0.5000)  6 Te 3.84-3.85
Cs (0.8328, 0.1672, 0.5000)  6 Te 3.84-3.85
Pr (0.3334, 0.6666, 0.0000)  6 Te 3.24
Pr (0.6666, 0.3334, 0.0000)  6 Te 3.24
Te (0.9348, 0.6031, 0.8043)  1 Nd 3.22, 2 Pr 3.24
Te (0.2664, 0.2664, 0.8040)  1 Nd 3.22, 2 Pr 3.24
Te (0.3969, 0.0652, 0.1957)  1 Nd 3.22, 2 Pr 3.24
Te (0.0652, 0.3969, 0.1957)  1 Nd 3.22, 2 Pr 3.24
Te (0.6031, 0.9348, 0.8043)  1 Nd 3.22, 2 Pr 3.24
Te (0.7336, 0.7336, 0.1960)  1 Nd 3.22, 2 Pr 3.24
Nd (0.0000, 0.0000, 0.0000)  6 Te 3.22

- crystal system = monoclinic
- E_form (uncorrected) (eV/atom) = -1.42
- space group = C2/m (12)



This record from Alexandria via LeMat-Bulk describes a geometry-optimized CsNdPt4 structure. The functional is PBE-GGA.

a = 5.6094 Å, b = 5.6094 Å, c = 5.6094 Å
α = 60.00°, β = 60.00°, γ = 60.00°
Closest atoms and distances in Å follow each position.
Positions (direct):
Cs (0.0000, 0.0000, 0.0000)  12 Pt 3.29, 4 Nd 3.44
Pt (0.6245, 0.6245, 0.1265)  6 Pt 2.79-2.82
Pt (0.1265, 0.6245, 0.6245)  6 Pt 2.79-2.82
Pt (0.6245, 0.1265, 0.6245)  6 Pt 2.79-2.82
Pt (0.6245, 0.6245, 0.6245)  6 Pt 2.79-2.82
Nd (0.2500, 0.2500, 0.2500)  12 Pt 3.29, 4 Cs 3.44

- E (eV per cell) = -32.62
- crystal system = cubic
- space group = F-43m (216)



This record from Alexandria via LeMat-Bulk describes a geometry-optimized CsNdPt10 structure. The functional is PBE-GGA.

a = 4.3618 Å, b = 5.5988 Å, c = 9.5988 Å
α = 90.00°, β = 90.00°, γ = 90.00°
Closest atoms and distances in Å follow each position.
Positions (direct):
Pt (0.0000, 0.5000, 0.1751)  6 Pt 2.70-2.75
Pt (0.5000, 0.2568, 0.7375)  8 Pt 2.70-2.88
Pt (0.0000, 0.5000, 0.8249)  6 Pt 2.70-2.75
Pt (0.5000, 0.0000, 0.5000)  8 Pt 2.67-2.70
Pt (0.5000, 0.2568, 0.2625)  8 Pt 2.70-2.88
Pt (0.0000, 0.0000, 0.3398)  6 Pt 2.67-2.72
Pt (0.5000, 0.7432, 0.7375)  8 Pt 2.70-2.88
Pt (0.5000, 0.5000, 0.0000)  8 Pt 2.75-2.86
Pt (0.5000, 0.7432, 0.2625)  8 Pt 2.70-2.88
Pt (0.0000, 0.0000, 0.6602)  6 Pt 2.67-2.72
Cs (0.0000, 0.0000, 0.0000)  18 Pt 3.26-3.63
Nd (0.0000, 0.5000, 0.5000)  14 Pt 3.12-3.44

- E (eV per cell) = -70.05
- crystal system = orthorhombic
- space group = Pmmm (47)



This record from Alexandria via LeMat-Bulk describes a geometry-optimized Cs3Nd3PuS8 structure. The functional is PBE-GGA.

a = 8.3646 Å, b = 8.3649 Å, c = 9.5319 Å
α = 116.03°, β = 90.00°, γ = 120.00°
Closest atoms and distances in Å follow each position.
Positions (direct):
S (0.7285, 0.4571, 0.6856)  3 Nd 2.86
S (0.7415, 0.9594, 0.6773)  1 Pu 2.72, 2 Nd 2.87
S (0.2180, 0.4359, 0.6773)  1 Pu 2.72, 2 Nd 2.87
S (0.2585, 0.0406, 0.3227)  1 Pu 2.72, 2 Nd 2.87
S (0.2715, 0.5429, 0.3144)  3 Nd 2.86
S (0.7820, 0.5641, 0.3227)  1 Pu 2.72, 2 Nd 2.87
S (0.7820, 0.0406, 0.3227)  1 Pu 2.72, 2 Nd 2.87
S (0.2180, 0.9594, 0.6773)  1 Pu 2.72, 2 Nd 2.87
Cs (0.0000, 0.5000, 0.0000)  6 S 3.54-3.55
Cs (0.5000, 0.5000, 0.0000)  6 S 3.54-3.55
Cs (0.0000, 0.0000, 0.0000)  6 S 3.54-3.55
Nd (0.5000, 0.0000, 0.5000)  6 S 2.86-2.87
Nd (0.5000, 0.5000, 0.5000)  6 S 2.86-2.87
Nd (0.0000, 0.5000, 0.5000)  6 S 2.86-2.87
Pu (0.0000, 0.0000, 0.5000)  6 S 2.72

- crystal system = trigonal
- E_form (uncorrected) (eV/atom) = -1.74
- space group = R-3m (166)



This record from Alexandria via LeMat-Bulk describes a geometry-optimized Cs4Nd3PuS8 structure. The functional is PBE-GGA.

a = 8.4823 Å, b = 9.4455 Å, c = 8.4824 Å
α = 116.69°, β = 120.00°, γ = 90.00°
Closest atoms and distances in Å follow each position.
Positions (direct):
Nd (0.5000, 0.5000, 0.0000)  6 S 2.88
Nd (0.5000, 0.5000, 0.5000)  6 S 2.88
Nd (0.0000, 0.5000, 0.5000)  6 S 2.88
Cs (0.5000, 0.0000, 0.0000)  6 S 3.56
Cs (0.0000, 0.0000, 0.0000)  6 S 3.52-3.53
Cs (0.0000, 0.0000, 0.5000)  6 S 3.52-3.53
Cs (0.5000, 0.0000, 0.5000)  6 S 3.52-3.53
S (0.2708, 0.3124, 0.5415)  3 Nd 2.88
S (0.7741, 0.3160, 0.5483)  1 Pu 2.84, 2 Nd 2.88
S (0.7741, 0.3159, 0.0418)  1 Pu 2.84, 2 Nd 2.88
S (0.2677, 0.3159, 0.0418)  1 Pu 2.84, 2 Nd 2.88
S (0.7292, 0.6876, 0.4585)  3 Nd 2.88
S (0.2259, 0.6841, 0.9582)  1 Pu 2.84, 2 Nd 2.88
S (0.2259, 0.6840, 0.4517)  1 Pu 2.84, 2 Nd 2.88
S (0.7323, 0.6841, 0.9582)  1 Pu 2.84, 2 Nd 2.88
Pu (0.0000, 0.5000, 0.0000)  6 S 2.84

- crystal system = trigonal
- E_form (uncorrected) (eV/atom) = -1.73
- space group = R-3m (166)



This record from Alexandria via LeMat-Bulk describes a geometry-optimized Cs3Nd2PuS6 structure. The functional is PBE-GGA.

a = 7.3392 Å, b = 7.3392 Å, c = 8.4307 Å
α = 98.35°, β = 98.35°, γ = 120.00°
Closest atoms and distances in Å follow each position.
Positions (direct):
Cs (0.5000, 0.5000, 0.5000)  6 S 3.52-3.55
Cs (0.8318, 0.1682, 0.5000)  6 S 3.52-3.55
Cs (0.1682, 0.8318, 0.5000)  6 S 3.52-3.55
S (0.0614, 0.3897, 0.1842)  1 Pu 2.83, 2 Nd 2.88
S (0.6103, 0.9386, 0.8158)  1 Pu 2.83, 2 Nd 2.88
S (0.9386, 0.6103, 0.8158)  1 Pu 2.83, 2 Nd 2.88
S (0.7334, 0.7334, 0.1849)  1 Pu 2.83, 2 Nd 2.88
S (0.2666, 0.2666, 0.8151)  1 Pu 2.83, 2 Nd 2.88
S (0.3897, 0.0614, 0.1842)  1 Pu 2.83, 2 Nd 2.88
Nd (0.3335, 0.6665, 0.0000)  6 S 2.88
Nd (0.6665, 0.3335, 0.0000)  6 S 2.88
Pu (0.0000, 0.0000, 0.0000)  6 S 2.83

- crystal system = monoclinic
- E_form (uncorrected) (eV/atom) = -1.70
- space group = C2/m (12)



This record from Alexandria via LeMat-Bulk describes a geometry-optimized Cs2Nd2PuS6 structure. The functional is PBE-GGA.

a = 7.1721 Å, b = 7.1721 Å, c = 8.6065 Å
α = 98.22°, β = 98.22°, γ = 119.73°
Closest atoms and distances in Å follow each position.
Positions (direct):
Cs (0.8302, 0.1698, 0.0000)  6 S 3.55-3.61
Cs (0.1698, 0.8302, 0.0000)  6 S 3.55-3.61
S (0.0593, 0.3791, 0.6787)  1 Pu 2.72, 2 Nd 2.85-2.87
S (0.6209, 0.9407, 0.3213)  1 Pu 2.72, 2 Nd 2.85-2.87
S (0.9407, 0.6209, 0.3213)  1 Pu 2.72, 2 Nd 2.85-2.87
S (0.2542, 0.2542, 0.3217)  1 Pu 2.70, 2 Nd 2.86
S (0.7458, 0.7458, 0.6783)  1 Pu 2.70, 2 Nd 2.86
S (0.3791, 0.0593, 0.6787)  1 Pu 2.72, 2 Nd 2.85-2.87
Nd (0.6662, 0.3338, 0.5000)  6 S 2.85-2.87
Nd (0.3338, 0.6662, 0.5000)  6 S 2.85-2.87
Pu (0.0000, 0.0000, 0.5000)  6 S 2.70-2.72

- crystal system = monoclinic
- E_form (uncorrected) (eV/atom) = -1.71
- space group = C2/m (12)



This record from Alexandria via LeMat-Bulk describes a geometry-optimized Cs4Nd3PuSe8 structure. The functional is PBE-GGA.

a = 8.7641 Å, b = 9.8026 Å, c = 8.7636 Å
α = 116.56°, β = 120.00°, γ = 90.00°
Closest atoms and distances in Å follow each position.
Positions (direct):
Se (0.7741, 0.3121, 0.5481)  1 Pu 2.94, 2 Nd 3.00
Se (0.2259, 0.6879, 0.4519)  1 Pu 2.94, 2 Nd 3.00
Se (0.7306, 0.6917, 0.4612)  3 Nd 3.00
Se (0.7361, 0.6879, 0.9620)  1 Pu 2.94, 2 Nd 3.00
Se (0.2639, 0.3121, 0.0380)  1 Pu 2.94, 2 Nd 3.00
Se (0.2259, 0.6879, 0.9620)  1 Pu 2.94, 2 Nd 3.00
Se (0.7741, 0.3121, 0.0380)  1 Pu 2.94, 2 Nd 3.00
Se (0.2694, 0.3083, 0.5388)  3 Nd 3.00
Cs (0.5000, 0.0000, 0.0000)  6 Se 3.68
Cs (0.0000, 0.0000, 0.0000)  6 Se 3.62-3.63
Cs (0.0000, 0.0000, 0.5000)  6 Se 3.62-3.63
Cs (0.5000, 0.0000, 0.5000)  6 Se 3.62-3.63
Nd (0.5000, 0.5000, 0.5000)  6 Se 3.00
Nd (0.5000, 0.5000, 0.0000)  6 Se 3.00
Nd (0.0000, 0.5000, 0.5000)  6 Se 3.00
Pu (0.0000, 0.5000, 0.0000)  6 Se 2.94

- crystal system = trigonal
- E_form (uncorrected) (eV/atom) = -1.50
- space group = R-3m (166)



This record from Alexandria via LeMat-Bulk describes a geometry-optimized Cs2Nd2PuSe6 structure. The functional is PBE-GGA.

a = 7.4311 Å, b = 7.4311 Å, c = 8.9485 Å
α = 98.23°, β = 98.23°, γ = 119.77°
Closest atoms and distances in Å follow each position.
Positions (direct):
Se (0.6165, 0.9371, 0.3156)  1 Pu 2.86, 2 Nd 2.98-2.99
Se (0.3835, 0.0629, 0.6844)  1 Pu 2.86, 2 Nd 2.98-2.99
Se (0.0629, 0.3835, 0.6844)  1 Pu 2.86, 2 Nd 2.98-2.99
Se (0.7447, 0.7447, 0.6836)  1 Pu 2.85, 2 Nd 2.98
Se (0.9371, 0.6165, 0.3156)  1 Pu 2.86, 2 Nd 2.98-2.99
Se (0.2553, 0.2553, 0.3164)  1 Pu 2.85, 2 Nd 2.98
Cs (0.1702, 0.8298, 0.0000)  6 Se 3.65-3.70
Cs (0.8298, 0.1702, 0.0000)  6 Se 3.65-3.70
Nd (0.6666, 0.3334, 0.5000)  6 Se 2.98-2.99
Nd (0.3334, 0.6666, 0.5000)  6 Se 2.98-2.99
Pu (0.0000, 0.0000, 0.5000)  6 Se 2.85-2.86

- crystal system = monoclinic
- E_form (uncorrected) (eV/atom) = -1.60
- space group = C2/m (12)



This record from Alexandria via LeMat-Bulk describes a geometry-optimized Cs2NdPuSe4 structure. The functional is PBE-GGA.

a = 4.3801 Å, b = 7.6002 Å, c = 8.7422 Å
α = 106.84°, β = 90.00°, γ = 90.00°
Closest atoms and distances in Å follow each position.
Positions (direct):
Nd (0.0000, 0.0000, 0.0000)  6 Se 3.00
Cs (0.0000, 0.5000, 0.5000)  6 Se 3.62-3.63
Cs (0.5000, 0.0000, 0.5000)  6 Se 3.64-3.66
Se (0.5000, 0.7673, 0.8103)  1 Pu 2.97, 2 Nd 3.00
Se (0.5000, 0.2327, 0.1897)  1 Pu 2.97, 2 Nd 3.00
Se (0.0000, 0.7237, 0.1853)  2 Pu 2.95, 1 Nd 3.00
Se (0.0000, 0.2763, 0.8147)  2 Pu 2.95, 1 Nd 3.00
Pu (0.5000, 0.5000, 0.0000)  6 Se 2.95-2.97

- crystal system = monoclinic
- E_form (uncorrected) (eV/atom) = -1.57
- space group = P2/m (10)